A.
Here is a relaxed structure of BiAsS2 from Alexandria via LeMat-Bulk. Energies are from GGA-PBEsol.

Cell lengths 4.7857, 4.7857, 4.7857 Å; angles 60.00, 60.00, 60.00 degrees
Element x y z (fractional)
S: 0.2500 0.2500 0.2500
S: 0.7500 0.7500 0.7500
As: 0.0000 0.0000 0.0000
Bi: 0.5000 0.5000 0.5000

Space-group type = Fm-3m
Volume = 19.38 Å³ per atom
Density of states at the Fermi level = 1.80 states/eV/f.u.



B.
Here is a relaxed structure of BiAsS2 from Alexandria via LeMat-Bulk. Energies are from GGA-PBEsol.

Cell lengths 6.0917, 6.0917, 6.0917 Å; angles 106.76, 106.76, 115.04 degrees
Element x y z (fractional)
S: 0.8466 0.8750 0.4716
S: 0.4034 0.3750 0.5284
S: 0.1250 0.5966 0.9716
S: 0.6250 0.1534 0.0284
As: 0.5000 0.5000 0.0000
As: 0.7500 0.2500 0.5000
Bi: 0.0000 0.0000 0.0000
Bi: 0.2500 0.7500 0.5000

Space-group type = I-42d
Volume = 21.60 Å³ per atom
Density of states at the Fermi level = 1.52 states/eV/f.u.



Which one sits at the bottom of the stability order? A does.